--- one ---
Computed, not measured: a relaxed Ru5Pt crystal at the PBE-GGA level of DFT.

Cell and atoms, written as extended XYZ:
```
6
Lattice="-1.638 1.881 -1.079 -1.931 -1.880 -0.347 -4.195 2.372 10.502" Properties=species:S:1:pos:R:3 pbc="T T T"
Ru -4.580 1.580 6.284
Ru -3.459 1.955 8.658
Ru -3.185 0.792 2.792
Ru -2.098 1.186 5.251
Ru -0.737 0.417 1.844
Pt -1.784 0.000 -0.713
```

Theoretical density ... 13.63 g/cm3
D(E_F) ... 7.39 states/eV/cell

---

--- two ---
Computed, not measured: a relaxed Ru5Pt crystal at the PBE-GGA level of DFT.

Cell and atoms, written as extended XYZ:
```
6
Lattice="6.437 0.000 0.000 0.000 2.738 0.000 1.187 1.369 4.823" Properties=species:S:1:pos:R:3 pbc="T T T"
Ru 2.651 2.738 0.534
Ru 0.917 1.369 2.162
Ru 4.654 1.369 1.637
Ru 2.966 2.738 3.188
Ru 5.539 2.738 3.728
Pt 6.426 2.738 0.006
```

Theoretical density ... 13.68 g/cm3
D(E_F) ... 5.72 states/eV/cell

---

Q: Which of them is the least stable? A: one.

---

--- one ---
Computed, not measured: a relaxed InTcNi crystal at the PBE-GGA level of DFT.

Cell and atoms, written as extended XYZ:
```
3
Lattice="5.875 -0.021 0.022 5.177 2.779 0.038 0.698 0.160 2.795" Properties=species:S:1:pos:R:3 pbc="T T T"
Ni 4.030 0.996 1.915
Tc 7.788 1.938 0.923
In 10.985 2.740 0.078
```

Theoretical density ... 9.83 g/cm3
D(E_F) ... 2.12 states/eV/cell

---

--- two ---
Computed, not measured: a relaxed InTcNi crystal at the PBE-GGA level of DFT.

Cell and atoms, written as extended XYZ:
```
12
Lattice="4.193 0.000 0.000 0.000 13.438 0.000 0.000 0.000 3.263" Properties=species:S:1:pos:R:3 pbc="T T T"
Tc 2.096 0.000 1.631
Tc 0.000 0.000 0.000
Tc 2.096 6.719 0.000
Tc 0.000 6.719 1.631
Ni 0.000 8.794 0.000
Ni 0.000 4.644 0.000
Ni 2.096 2.075 0.000
Ni 2.096 11.364 0.000
In 0.000 2.285 1.631
In 2.096 4.434 1.631
In 0.000 11.153 1.631
In 2.096 9.005 1.631
```

Theoretical density ... 9.81 g/cm3
D(E_F) ... 6.70 states/eV/cell

---

Q: Which of them is the least stable? A: one.

---

--- one ---
Computed, not measured: a relaxed B2C crystal at the PBE-GGA level of DFT.

Cell and atoms, written as extended XYZ:
```
12
Lattice="2.973 -2.179 4.740 3.673 0.447 4.730 -3.222 0.878 4.633" Properties=species:S:1:pos:R:3 pbc="T T T"
B 1.330 -0.335 4.779
B -1.366 0.380 3.884
B -0.456 0.150 6.906
B 3.543 -0.888 13.542
B 4.008 -1.039 7.070
B 3.319 -0.849 8.621
B -0.213 0.068 2.664
B 1.985 -0.489 9.678
C 2.155 -0.528 11.196
C 4.952 -1.272 11.667
C 1.075 -0.260 6.378
C 2.726 -0.710 4.125
```

Theoretical density ... 2.59 g/cm3
D(E_F) ... 1.77 states/eV/cell

---

--- two ---
Computed, not measured: a relaxed B2C crystal at the PBE-GGA level of DFT.

Cell and atoms, written as extended XYZ:
```
12
Lattice="-1.661 0.316 -2.157 2.605 -3.148 -2.466 -3.139 -5.138 1.663" Properties=species:S:1:pos:R:3 pbc="T T T"
C -0.517 -5.530 -0.412
C -0.659 -5.122 -1.984
C -1.125 -6.927 -0.149
C -0.603 -1.268 0.278
B 0.528 -4.159 -2.757
B -2.937 -5.110 1.512
B -1.439 -4.448 0.456
B 0.639 -2.079 -2.537
B -0.407 -2.794 -0.096
B -2.254 -3.058 -0.454
B -0.539 -3.211 -1.796
B -3.048 -4.483 -0.051
```

Theoretical density ... 2.76 g/cm3
D(E_F) ... 1.84 states/eV/cell

---

Q: Which of them is the least stable? A: two.